# AcDyAsSe

An optimized crystal structure of AcDyAsSe (PBE, Alexandria).

Properties
raw formation energy = -1579 meV/atom

abc: 4.2032 4.2032 22.6040
angles: 90.00 90.00 120.00
Last column: nearest neighbours and their distance in Å.
Fractional positions:
Ac1 0.0000 0.0000 0.0000  3 As 3.08, 3 Se 3.25
Ac2 0.3333 0.6667 0.6667  3 As 3.08, 3 Se 3.25
Ac3 0.6667 0.3333 0.3333  3 As 3.08, 3 Se 3.25
Dy1 0.0000 0.0000 0.8201  3 As 2.89, 3 Se 3.08
Dy2 0.3333 0.6667 0.4868  3 As 2.89, 3 Se 3.08
Dy3 0.6667 0.3333 0.1534  3 As 2.89, 3 Se 3.08
As1 0.0000 0.0000 0.4174  3 Dy 2.89, 3 Ac 3.08
As2 0.3333 0.6667 0.0841  3 Dy 2.89, 3 Ac 3.08
As3 0.6667 0.3333 0.7507  3 Dy 2.89, 3 Ac 3.08
Se1 0.0000 0.0000 0.5710  3 Dy 3.08, 3 Ac 3.25
Se2 0.3333 0.6667 0.2376  3 Dy 3.08, 3 Ac 3.25
Se3 0.6667 0.3333 0.9043  3 Dy 3.08, 3 Ac 3.25